The following is a PBE-GGA calculation of a relaxed structure of La8TbPm5, from the Alexandria database.

Cell lengths 8.726, 8.726, 8.726 Å; angles 110.74, 106.97, 110.74 degrees
Fractional positions:
La (0.175, 0.733, 0.069)
La (0.931, 0.106, 0.664)
La (0.736, 0.261, 0.337)
La (0.663, 0.398, 0.924)
La (0.525, 0.602, 0.264)
La (0.558, 0.894, 0.825)
La (0.336, 0.267, 0.442)
La (0.076, 0.739, 0.475)
Tb (0.250, 0.500, 0.750)
Pm (0.029, 0.308, 0.131)
Pm (0.869, 0.899, 0.177)
Pm (0.823, 0.692, 0.721)
Pm (0.500, 0.000, 0.500)
Pm (0.279, 0.101, 0.971)

## Properties
calculated formation energy = 0.2235 eV per atom
calculated total energy = -4.620 eV/atom
symmetry = I-4